DFT (PBE) results for a geometry-optimized Li2CrAg structure.

The structure belongs to space group P2/m (No. 10); the cell edges are 2.908, 4.659 and 5.009 Å and the angles 90.00°, 94.61° and 90.00°. Symmetry generates all atoms from Li at (0.246, 0.000, 0.254), Cr at (0.500, 0.500, 0.000) and Ag at (0.000, 0.500, 0.500).

Its density is 4.27 g/cm3. The distance to the lowest polymorph of the same formula is 35 meV/atom. The calculation puts the formation energy at 1.03 eV/f.u. For the density of states at the Fermi level, the calculation gives 0.4662 states/eV/atom.